Entry 1:
! BaIrCl2 GGA-PBE optimized geometry; values from VASP
&SYSTEM
  ibrav = 0, nat = 4, ntyp = 3
/
ATOMIC_SPECIES
Ir 192.22 Ir.upf
Ba 137.33 Ba.upf
Cl 35.45 Cl.upf
ATOMIC_POSITIONS crystal
Ir 0.5000 0.2500 0.2500
Ba 0.5000 0.7500 0.7500
Cl 0.0000 0.0614 0.0608
Cl 0.0000 0.4386 0.4392
CELL_PARAMETERS angstrom
-3.0621 2.7961 0.5586
0.0605 -0.9108 4.8904
3.3656 3.4175 1.3426
! **Symmetry**: No. 65
! **Energy relative to the lowest polymorph listed for this composition**: 0.1849 eV/atom
! **Formation energy from raw total energies**: -2.54 eV per formula unit

Entry 2:
! NbPt3Cl GGA-PBE optimized geometry; values from VASP
&SYSTEM
  ibrav = 0, nat = 5, ntyp = 3
/
ATOMIC_SPECIES
Nb 92.91 Nb.upf
Pt 195.08 Pt.upf
Cl 35.45 Cl.upf
ATOMIC_POSITIONS crystal
Nb 0.5000 0.5000 0.5000
Pt 0.0000 0.5000 0.0000
Pt 0.0000 0.0000 0.5000
Pt 0.5000 0.0000 0.0000
Cl 0.0000 0.0000 0.0000
CELL_PARAMETERS angstrom
4.5437 0.0000 0.0000
0.0000 4.5437 0.0000
0.0000 0.0000 4.5437
! **Symmetry**: No. 221
! **Energy relative to the lowest polymorph listed for this composition**: 0.0000 eV/atom
! **Formation energy from raw total energies**: 5.17 eV per formula unit